VASP calculation (PBE) on an optimized crystal structure of ZnNi2Rh2.

a = 3.7178 Å, b = 4.6017 Å, c = 4.5171 Å
α = 81.11°, β = 65.70°, γ = 66.17°
Closest atoms and distances in Å follow each position.
Fractional positions:
Ni: 0.6029 0.5962 0.1980  3 Ni 2.59-2.63, 6 Rh 2.61-2.69, 3 Zn 2.63-2.65
Rh: 0.8034 0.7937 0.5995  3 Rh 2.59-2.68, 6 Ni 2.61-2.69, 3 Zn 2.62-2.63
Ni: 0.3971 0.4038 0.8020  3 Ni 2.59-2.63, 6 Rh 2.61-2.69, 3 Zn 2.63-2.65
Rh: 0.1966 0.2063 0.4005  3 Rh 2.59-2.68, 6 Ni 2.61-2.69, 3 Zn 2.62-2.63
Zn: 0.0000 0.0000 0.0000  6 Rh 2.62-2.63, 6 Ni 2.63-2.65

Formation enthalpy at 0 K (eV/atom): -0.093
Space-group type: C2/m
Uncorrected energy (eV per atom): -5.60
Energy above the lowest structure with this stoichiometry (meV/atom): 0
ρ (g cm⁻³): 10.02